MnNiCl2 | the Alexandria database | GGA-PBEsol | relaxed; Fermi-level density of states = 19.9 states/eV/cell; magnetic moment = 5.14 μB/f.u.; crystal system = cubic; offset from the most stable computed form = 0.696 eV/atom
1.0
6.295 0.000 0.000
0.000 6.295 0.000
0.000 0.000 6.295
Mn Ni Cl
4 4 8
Direct
0.000 0.000 0.000
0.000 0.500 0.500
0.500 0.000 0.500
0.500 0.500 0.000
0.250 0.250 0.750
0.250 0.750 0.250
0.750 0.250 0.250
0.750 0.750 0.750
0.000 0.000 0.500
0.000 0.500 0.000
0.250 0.250 0.250
0.250 0.750 0.750
0.500 0.000 0.000
0.500 0.500 0.500
0.750 0.250 0.750
0.750 0.750 0.250